Ta2Cl3: relaxed, PBE.

**Electronic total energy**: -6.27 eV per atom
**Fermi-level density of states**: 0.31 states/eV per atom

a = 3.0927 Å, b = 3.0927 Å, c = 35.7944 Å
α = 90.00°, β = 90.00°, γ = 120.00°
Space group R-3m (No. 166, hexagonal axes)
One atom of each set of equivalent atoms:
1 Ta 0.0000 0.0000 0.1061 (multiplicity 6)
2 Cl 0.0000 0.0000 0.2766 (multiplicity 6)
3 Cl 0.0000 0.0000 0.5000 (multiplicity 3)



Tm8SbRu2: relaxed, PBE.

**Electronic total energy**: -5.69 eV per atom
**Fermi-level density of states**: 0.81 states/eV per atom

a = 8.5320 Å, b = 12.8513 Å, c = 5.4885 Å
α = 90.00°, β = 103.78°, γ = 90.00°
Space group C2/m (No. 12)
One atom of each set of equivalent atoms:
1 Tm 0.0000 0.2457 0.0000 (multiplicity 4)
2 Tm 0.1119 0.5000 0.7966 (multiplicity 4)
3 Tm 0.2018 0.1323 0.5884 (multiplicity 8)
4 Sb 0.0000 0.0000 0.0000 (multiplicity 2)
5 Ru 0.0000 0.3123 0.5000 (multiplicity 4)